No. 1
An optimized crystal structure of PrTc2PN2. Source: Alexandria, functional PBE.

Values from the calculation:
The value obtained for the density of states at the Fermi level is 2.26 states/eV/f.u. As for the final energy: -100.7 eV/cell. Its uncorrected formation energy is -45 kJ/mol of atoms.

Unit cell a=5.4461 b=6.2650 c=6.5079 alpha=106.93 beta=90.00 gamma=90.00
Fractional coordinates of all 12 atoms:
N 0.7500 0.9496 0.6266
N 0.2500 0.0504 0.3734
N 0.7500 0.3377 0.3571
N 0.2500 0.6623 0.6429
P 0.2500 0.2022 0.9298
P 0.7500 0.7978 0.0702
Tc 0.9974 0.8588 0.7905
Tc 0.4974 0.1412 0.2095
Tc 0.0026 0.1412 0.2095
Tc 0.5026 0.8588 0.7905
Pr 0.2500 0.6576 0.2598
Pr 0.7500 0.3424 0.7402

No. 2
An optimized crystal structure of Li2CoRu. Source: Alexandria, functional PBE.

Values from the calculation:
The value obtained for the density of states at the Fermi level is 2.21 states/eV/f.u. The energy above the lowest structure with this stoichiometry comes out at 0.45 eV/f.u. As for the final energy: -19.3 eV/cell.

Unit cell a=4.9199 b=4.9199 c=4.9199 alpha=138.68 beta=138.68 gamma=59.87
Fractional coordinates of all 4 atoms:
Co 0.7500 0.2500 0.5000
Li 0.0000 0.0000 0.0000
Li 0.5000 0.5000 0.0000
Ru 0.2500 0.7500 0.5000

No. 3
An optimized crystal structure of In2Ag2GeS6. Source: Alexandria, functional PBE.

Values from the calculation:
The energy above the lowest structure with this stoichiometry comes out at 2.01 eV/f.u. As for the final energy: -85.7 eV/cell. Its uncorrected formation energy is -20 kJ/mol of atoms.

Unit cell a=7.6154 b=7.6154 c=10.5725 alpha=68.77 beta=68.77 gamma=79.28
Fractional coordinates of all 22 atoms:
S 0.6330 0.1455 0.2747
S 0.7781 0.3248 0.8393
S 0.3248 0.7781 0.3393
S 0.9428 0.6069 0.1438
S 0.4783 0.6653 0.0242
S 0.1455 0.6330 0.7747
S 0.0964 0.1990 0.4280
S 0.6653 0.4783 0.5242
S 0.7213 0.0412 0.9254
S 0.1990 0.0964 0.9280
S 0.0412 0.7213 0.4254
S 0.6069 0.9428 0.6438
In 0.3496 0.1388 0.1972
In 0.2599 0.4784 0.9924
In 0.4784 0.2599 0.4924
In 0.1388 0.3496 0.6972
Ag 0.7670 0.4332 0.0550
Ag 0.4332 0.7670 0.5550
Ag 0.9164 0.9501 0.1588
Ag 0.9501 0.9164 0.6588
Ge 0.4841 0.9517 0.8691
Ge 0.9517 0.4841 0.3691

No. 4
An optimized crystal structure of Mn2NbAlW. Source: Alexandria, functional PBE.

Values from the calculation:
The value obtained for the density of states at the Fermi level is 8.69 states/eV/f.u. As for the final energy: -35.6 eV/cell.

Unit cell a=4.3057 b=4.7562 c=4.3057 alpha=90.00 beta=90.00 gamma=90.00
Fractional coordinates of all 5 atoms:
Nb 0.0000 0.0000 0.0000
Al 0.0000 0.5000 0.0000
Mn 0.5000 0.0000 0.0000
Mn 0.0000 0.0000 0.5000
W 0.5000 0.5000 0.5000

No. 5
An optimized crystal structure of Ho3Zn9Cd2. Source: Alexandria, functional PBE.

Values from the calculation:
The value obtained for the density of states at the Fermi level is 6.82 states/eV/f.u. As for the final energy: -31.1 eV/cell.

Unit cell a=4.4710 b=8.2908 c=8.2908 alpha=64.86 beta=74.36 gamma=74.36
Fractional coordinates of all 14 atoms:
Zn 0.1429 0.5774 0.1368
Zn 0.0000 0.5000 0.5000
Zn 0.3366 0.3015 0.0254
Zn 0.6634 0.9746 0.6985
Zn 0.8571 0.8632 0.4226
Zn 0.6634 0.6985 0.9746
Zn 0.8571 0.4226 0.8632
Zn 0.3366 0.0254 0.3015
Zn 0.1429 0.1368 0.5774
Cd 0.5000 0.3142 0.6858
Cd 0.5000 0.6858 0.3142
Ho 0.0000 0.0000 0.0000
Ho 0.7118 0.2882 0.2882
Ho 0.2882 0.7118 0.7118

No. 6
An optimized crystal structure of Pr3Sm12Pu. Source: Alexandria, functional PBE.

Values from the calculation:
The value obtained for the density of states at the Fermi level is 31.38 states/eV/f.u. As for the final energy: -84.6 eV/cell.

Unit cell a=5.1389 b=5.1389 c=20.4988 alpha=90.00 beta=90.00 gamma=90.00
Fractional coordinates of all 16 atoms:
Sm 0.5000 0.0000 0.8803
Sm 0.0000 0.5000 0.8803
Sm 0.5000 0.5000 0.0000
Sm 0.5000 0.0000 0.3733
Sm 0.5000 0.5000 0.7528
Sm 0.0000 0.5000 0.6267
Sm 0.5000 0.5000 0.5000
Sm 0.5000 0.0000 0.6267
Sm 0.5000 0.0000 0.1197
Sm 0.5000 0.5000 0.2472
Sm 0.0000 0.5000 0.1197
Sm 0.0000 0.5000 0.3733
Pr 0.0000 0.0000 0.2474
Pr 0.0000 0.0000 0.5000
Pr 0.0000 0.0000 0.7526
Pu 0.0000 0.0000 0.0000

No. 7
An optimized crystal structure of PuNp2Se3. Source: Alexandria, functional PBE.

Values from the calculation:
The value obtained for the density of states at the Fermi level is 25.26 states/eV/f.u. As for the final energy: -57.9 eV/cell. Its uncorrected formation energy is -117 kJ/mol of atoms.

Unit cell a=4.1181 b=5.8236 c=7.1290 alpha=114.11 beta=106.79 gamma=90.00
Fractional coordinates of all 6 atoms:
Se 0.3321 0.3321 0.6642
Se 0.6679 0.6679 0.3358
Se 0.0000 0.0000 0.0000
Np 0.6662 0.1662 0.3324
Np 0.3338 0.8338 0.6676
Pu 0.0000 0.5000 0.0000

No. 8
An optimized crystal structure of ZrCS2. Source: Alexandria, functional PBE.

Values from the calculation:
The value obtained for the density of states at the Fermi level is 1.75 states/eV/f.u. The energy above the lowest structure with this stoichiometry comes out at 1.73 eV/f.u. As for the final energy: -47.7 eV/cell. Its uncorrected formation energy is 53 kJ/mol of atoms.

Unit cell a=5.2866 b=5.2866 c=6.1752 alpha=64.66 beta=64.66 gamma=90.00
Fractional coordinates of all 8 atoms:
C 0.5000 0.5000 0.0000
C 0.2500 0.7500 0.5000
S 0.8750 0.7902 0.7500
S 0.3750 0.4598 0.7500
S 0.2098 0.6250 0.2500
S 0.5402 0.1250 0.2500
Zr 0.0000 0.0000 0.0000
Zr 0.7500 0.2500 0.5000

No. 9
An optimized crystal structure of PrZn2CrN4. Source: Alexandria, functional PBE.

Values from the calculation:
The value obtained for the density of states at the Fermi level is 1.97 states/eV/f.u. As for the final energy: -53.8 eV/cell. Its uncorrected formation energy is -43 kJ/mol of atoms.

Unit cell a=5.3408 b=5.1908 c=5.1908 alpha=86.63 beta=59.04 gamma=59.04
Fractional coordinates of all 8 atoms:
N 0.0000 0.8394 0.5525
N 0.6081 0.5525 0.8394
N 0.3919 0.1606 0.4475
N 0.0000 0.4475 0.1606
Pr 0.0000 0.0000 0.0000
Zn 0.5000 0.7500 0.2500
Zn 0.5000 0.2500 0.7500
Cr 0.0000 0.5000 0.5000

No. 10
An optimized crystal structure of Sm2Ga3Pt12Rh. Source: Alexandria, functional PBE.

Values from the calculation:
The value obtained for the density of states at the Fermi level is 12.33 states/eV/f.u. As for the final energy: -103.0 eV/cell.

Unit cell a=7.9895 b=7.9895 c=7.9895 alpha=60.76 beta=60.76 gamma=60.76
Fractional coordinates of all 18 atoms:
Pt 0.1326 0.1326 0.6145
Pt 0.8780 0.3740 0.3740
Pt 0.8674 0.3855 0.8674
Pt 0.3740 0.3740 0.8780
Pt 0.1220 0.6260 0.6260
Pt 0.8674 0.8674 0.3855
Pt 0.3855 0.8674 0.8674
Pt 0.1326 0.6145 0.1326
Pt 0.6145 0.1326 0.1326
Pt 0.6260 0.6260 0.1220
Pt 0.6260 0.1220 0.6260
Pt 0.3740 0.8780 0.3740
Ga 0.0000 0.5000 0.0000
Ga 0.0000 0.0000 0.5000
Ga 0.5000 0.0000 0.0000
Sm 0.3792 0.3792 0.3792
Sm 0.6208 0.6208 0.6208
Rh 0.0000 0.0000 0.0000

No. 11
An optimized crystal structure of AcNdGdGa. Source: Alexandria, functional PBE.

Values from the calculation:
The value obtained for the density of states at the Fermi level is 5.75 states/eV/f.u. As for the final energy: -26.0 eV/cell.

Unit cell a=5.5732 b=5.5732 c=5.5732 alpha=60.00 beta=60.00 gamma=60.00
Fractional coordinates of all 4 atoms:
Ac 0.0000 0.0000 0.0000
Nd 0.2500 0.2500 0.2500
Ga 0.5000 0.5000 0.5000
Gd 0.7500 0.7500 0.7500

No. 12
An optimized crystal structure of CaAuCl4. Source: Alexandria, functional PBE.

Values from the calculation:
The value obtained for the density of states at the Fermi level is 0.74 states/eV/f.u. The energy above the lowest structure with this stoichiometry comes out at 0.00 eV/f.u. As for the final energy: -40.4 eV/cell. Its uncorrected formation energy is -121 kJ/mol of atoms.

Unit cell a=4.2146 b=6.6362 c=12.6281 alpha=91.32 beta=90.00 gamma=90.00
Fractional coordinates of all 12 atoms:
Au 0.0000 0.0000 0.0000
Au 0.5000 0.5000 0.5000
Cl 0.9951 0.6765 0.8885
Cl 0.0049 0.3235 0.1115
Cl 0.4951 0.8235 0.6115
Cl 0.6434 0.1631 0.8777
Cl 0.8566 0.6631 0.3777
Cl 0.3566 0.8369 0.1223
Cl 0.5049 0.1765 0.3885
Cl 0.1434 0.3369 0.6223
Ca 0.0000 0.0000 0.5000
Ca 0.5000 0.5000 0.0000

Repeat the sixth record exactly.
An optimized crystal structure of Pr3Sm12Pu. Source: Alexandria, functional PBE.

Values from the calculation:
The value obtained for the density of states at the Fermi level is 31.38 states/eV/f.u. As for the final energy: -84.6 eV/cell.

Unit cell a=5.1389 b=5.1389 c=20.4988 alpha=90.00 beta=90.00 gamma=90.00
Fractional coordinates of all 16 atoms:
Sm 0.5000 0.0000 0.8803
Sm 0.0000 0.5000 0.8803
Sm 0.5000 0.5000 0.0000
Sm 0.5000 0.0000 0.3733
Sm 0.5000 0.5000 0.7528
Sm 0.0000 0.5000 0.6267
Sm 0.5000 0.5000 0.5000
Sm 0.5000 0.0000 0.6267
Sm 0.5000 0.0000 0.1197
Sm 0.5000 0.5000 0.2472
Sm 0.0000 0.5000 0.1197
Sm 0.0000 0.5000 0.3733
Pr 0.0000 0.0000 0.2474
Pr 0.0000 0.0000 0.5000
Pr 0.0000 0.0000 0.7526
Pu 0.0000 0.0000 0.0000